[1]
DFT (GGA-PBE) results for a relaxed structure of Er3Mg3Hg2Au.

a b c (Å): 7.6721 7.6721 4.0959
angles (deg): 90.00 90.00 120.00
Space group P-62m (No. 189)
Asymmetric unit:
Er  0.0000  0.4039  0.0000 x3
Mg  0.0000  0.7550  0.5000 x3
Hg  0.3333  0.6667  0.5000 x2
Au  0.0000  0.0000  0.0000 x1

[2]
DFT (GGA-PBE) results for a relaxed structure of ErMgHgAu.

a b c (Å): 6.986 6.986 6.986
angles (deg): 90.00 90.00 90.00
Space group F-43m (No. 216)
Asymmetric unit:
Er  0.000  0.000  0.000 x4
Mg  0.000  0.000  0.500 x4
Hg  0.250  0.250  0.750 x4
Au  0.250  0.250  0.250 x4

[3]
DFT (GGA-PBE) results for a relaxed structure of NdErHg2Au4.

a b c (Å): 4.967 4.967 7.027
angles (deg): 90.00 90.00 90.00
Space group P4/mmm (No. 123)
Asymmetric unit:
Nd  0.000  0.000  0.000 x1
Er  0.500  0.500  0.500 x1
Hg  0.000  0.000  0.500 x1
Hg  0.500  0.500  0.000 x1
Au  0.000  0.500  0.262 x4

Calculated values
* DFT formation energy: -0.59 eV per atom

[4]
DFT (GGA-PBE) results for a relaxed structure of TbEr2Hg3PdAu2.

a b c (Å): 3.743 13.644 7.863
angles (deg): 90.00 90.00 90.00
Space group Amm2 (No. 38)
Asymmetric unit:
Tb  0.000  0.000  0.000 x2
Er  0.000  0.196  0.411 x4
Hg  0.500  0.000  0.340 x2
Hg  0.500  0.134  0.741 x4
Pd  0.000  0.000  0.607 x2
Au  0.500  0.167  0.108 x4

Calculated values
* DFT formation energy: -0.67 eV per atom

[5]
DFT (GGA-PBE) results for a relaxed structure of PrErHg2Au4.

a b c (Å): 4.984 4.984 7.047
angles (deg): 90.00 90.00 90.00
Space group P4/mmm (No. 123)
Asymmetric unit:
Pr  0.000  0.000  0.000 x1
Er  0.500  0.500  0.500 x1
Hg  0.000  0.000  0.500 x1
Hg  0.500  0.500  0.000 x1
Au  0.000  0.500  0.265 x4

Calculated values
* DFT formation energy: -0.58 eV per atom

[6]
DFT (GGA-PBE) results for a relaxed structure of TbErHg2Au4.

a b c (Å): 4.921 4.921 6.958
angles (deg): 90.00 90.00 90.00
Space group P4/mmm (No. 123)
Asymmetric unit:
Tb  0.000  0.000  0.000 x1
Er  0.500  0.500  0.500 x1
Hg  0.000  0.000  0.500 x1
Hg  0.500  0.500  0.000 x1
Au  0.000  0.500  0.254 x4

Calculated values
* DFT formation energy: -0.60 eV per atom

[7]
DFT (GGA-PBE) results for a relaxed structure of ErTmHg2Au4.

a b c (Å): 4.894 4.894 6.925
angles (deg): 90.00 90.00 90.00
Space group P4/mmm (No. 123)
Asymmetric unit:
Er  0.000  0.000  0.000 x1
Tm  0.500  0.500  0.500 x1
Hg  0.000  0.000  0.500 x1
Hg  0.500  0.500  0.000 x1
Au  0.000  0.500  0.250 x4

Calculated values
* DFT formation energy: -0.59 eV per atom

[8]
DFT (GGA-PBE) results for a relaxed structure of HoErAu.

a b c (Å): 6.935 6.935 6.935
angles (deg): 90.00 90.00 90.00
Space group F-43m (No. 216)
Asymmetric unit:
Ho  0.000  0.000  0.000 x4
Er  0.000  0.000  0.500 x4
Au  0.250  0.250  0.750 x4

Calculated values
* energy above the most stable polymorph in this dataset: 188 meV/atom
* DFT formation energy: -0.47 eV per atom

[9]
DFT (GGA-PBE) results for a relaxed structure of HoErAu.

a b c (Å): 7.060 4.917 8.842
angles (deg): 90.00 90.00 90.00
Space group Pnma (No. 62)
Asymmetric unit:
Ho  0.148  0.250  0.080 x4
Er  0.015  0.250  0.676 x4
Au  0.242  0.250  0.400 x4

Calculated values
* energy above the most stable polymorph in this dataset: 4 meV/atom
* DFT formation energy: -0.65 eV per atom

[10]
DFT (GGA-PBE) results for a relaxed structure of HoErAu.

a b c (Å): 7.055 4.915 8.849
angles (deg): 90.00 90.00 90.00
Space group Pnma (No. 62)
Asymmetric unit:
Ho  0.014  0.250  0.177 x4
Er  0.149  0.250  0.580 x4
Au  0.243  0.250  0.901 x4

Calculated values
* energy above the most stable polymorph in this dataset: 0 meV/atom
* DFT formation energy: -0.65 eV per atom

[11]
DFT (GGA-PBE) results for a relaxed structure of HoErIn4Au2.

a b c (Å): 7.252 4.620 10.876
angles (deg): 90.00 90.00 90.00
Space group Amm2 (No. 38)
Asymmetric unit:
Ho  0.000  0.000  0.000 x2
Er  0.500  0.000  0.839 x2
In  0.206  0.000  0.290 x4
In  0.294  0.000  0.549 x4
Au  0.000  0.000  0.718 x2
Au  0.500  0.000  0.120 x2

[12]
DFT (GGA-PBE) results for a relaxed structure of Ho2ErIn3Ir2Au.

a b c (Å): 3.842 13.258 7.671
angles (deg): 90.00 90.00 90.00
Space group Amm2 (No. 38)
Asymmetric unit:
Ho  0.000  0.205  0.000 x4
Er  0.000  0.000  0.386 x2
In  0.500  0.000  0.065 x2
In  0.500  0.135  0.661 x4
Ir  0.500  0.166  0.296 x4
Au  0.000  0.000  0.795 x2

[13]
DFT (GGA-PBE) results for a relaxed structure of HoEr2In3Ni2Au.

a b c (Å): 3.887 13.005 7.506
angles (deg): 90.00 90.00 90.00
Space group Amm2 (No. 38)
Asymmetric unit:
Ho  0.000  0.000  0.000 x2
Er  0.000  0.204  0.612 x4
In  0.500  0.000  0.682 x2
In  0.500  0.137  0.271 x4
Ni  0.500  0.167  0.908 x4
Au  0.000  0.000  0.409 x2

[14]
DFT (GGA-PBE) results for a relaxed structure of Ho2ErIn3Pd2Au.

a b c (Å): 3.793 13.478 7.789
angles (deg): 90.00 90.00 90.00
Space group Amm2 (No. 38)
Asymmetric unit:
Ho  0.000  0.203  0.000 x4
Er  0.000  0.000  0.608 x2
In  0.500  0.000  0.932 x2
In  0.500  0.135  0.338 x4
Pd  0.500  0.166  0.703 x4
Au  0.000  0.000  0.203 x2

[15]
DFT (GGA-PBE) results for a relaxed structure of HoEr2In3Pt2Au.

a b c (Å): 3.766 13.476 7.774
angles (deg): 90.00 90.00 90.00
Space group Amm2 (No. 38)
Asymmetric unit:
Ho  0.000  0.000  0.000 x2
Er  0.000  0.204  0.389 x4
In  0.500  0.000  0.323 x2
In  0.500  0.135  0.728 x4
Pt  0.500  0.167  0.093 x4
Au  0.000  0.000  0.592 x2

[16]
DFT (GGA-PBE) results for a relaxed structure of Ho2ErIn3Pt2Au.

a b c (Å): 3.775 13.456 7.776
angles (deg): 90.00 90.00 90.00
Space group Amm2 (No. 38)
Asymmetric unit:
Ho  0.000  0.204  0.000 x4
Er  0.000  0.000  0.389 x2
In  0.500  0.000  0.066 x2
In  0.500  0.135  0.661 x4
Pt  0.500  0.166  0.296 x4
Au  0.000  0.000  0.796 x2

[17]
DFT (GGA-PBE) results for a relaxed structure of Ho2ErZn3NiAu2.

a b c (Å): 3.898 12.555 7.257
angles (deg): 90.00 90.00 90.00
Space group Amm2 (No. 38)
Asymmetric unit:
Ho  0.000  0.198  0.000 x4
Er  0.000  0.000  0.594 x2
Zn  0.500  0.000  0.968 x2
Zn  0.500  0.115  0.313 x4
Ni  0.000  0.000  0.199 x2
Au  0.500  0.166  0.698 x4

Calculated values
* DFT formation energy: -0.62 eV per atom

[18]
DFT (GGA-PBE) results for a relaxed structure of HoErAu2O4.

a b c (Å): 3.5102 3.5102 12.1352
angles (deg): 90.00 90.00 120.00
Space group P-3m1 (No. 164)
Asymmetric unit:
Ho  0.0000  0.0000  0.0000 x1
Er  0.0000  0.0000  0.5000 x1
Au  0.3333  0.6667  0.2506 x2
O  0.3333  0.6667  0.0824 x2
O  0.3333  0.6667  0.4188 x2

[19]
DFT (GGA-PBE) results for a relaxed structure of Ho2ErSc3Te2Au.

a b c (Å): 3.953 13.890 8.016
angles (deg): 90.00 90.00 90.00
Space group Amm2 (No. 38)
Asymmetric unit:
Ho  0.000  0.199  0.000 x4
Er  0.000  0.000  0.404 x2
Sc  0.500  0.000  0.048 x2
Sc  0.500  0.124  0.677 x4
Te  0.500  0.166  0.301 x4
Au  0.000  0.000  0.800 x2

[20]
DFT (GGA-PBE) results for a relaxed structure of Ho2ErSn4Au4.

a b c (Å): 4.553 7.234 15.455
angles (deg): 90.00 90.00 90.00
Space group Immm (No. 71)
Asymmetric unit:
Ho  0.000  0.000  0.129 x4
Er  0.000  0.500  0.000 x2
Sn  0.000  0.301  0.500 x4
Sn  0.000  0.500  0.212 x4
Au  0.000  0.206  0.330 x8

Sequential energy output: -2.958 -3.031 -3.462 -3.597 -3.460 -3.455 -3.429 -4.602 -4.786 -4.790 -3.808 -5.473 -4.588 -4.728 -5.057 -5.059 -3.913 -6.701 -5.488 -4.502 eV per atom